# YTm4Hg2 (PBE-GGA, optimized geometry)
# energy of formation from the pure elements: 25 meV/atom
data_YTm4Hg2
_symmetry_space_group_name_H-M 'R -3 m'
_symmetry_Int_Tables_number 166
_symmetry_space_group_name_Hall '-R 3 2"'
_cell_length_a 4.9826
_cell_length_b 4.9826
_cell_length_c 30.4246
_cell_angle_alpha 90.00
_cell_angle_beta 90.00
_cell_angle_gamma 120.00
loop_
_atom_site_label
_atom_site_type_symbol
_atom_site_fract_x
_atom_site_fract_y
_atom_site_fract_z
Y1 Y 0.0000 0.0000 0.0000
Tm1 Tm 0.0000 0.0000 0.2022
Tm2 Tm 0.0000 0.0000 0.3957
Hg1 Hg 0.0000 0.0000 0.1011



# Y2TmHg4 (PBE-GGA, optimized geometry)
# energy of formation from the pure elements: -349 meV/atom
data_Y2TmHg4
_symmetry_space_group_name_H-M 'R -3 m'
_symmetry_Int_Tables_number 166
_symmetry_space_group_name_Hall '-R 3 2"'
_cell_length_a 5.0706
_cell_length_b 5.0706
_cell_length_c 26.0302
_cell_angle_alpha 90.00
_cell_angle_beta 90.00
_cell_angle_gamma 120.00
loop_
_atom_site_label
_atom_site_type_symbol
_atom_site_fract_x
_atom_site_fract_y
_atom_site_fract_z
Y1 Y 0.0000 0.0000 0.2447
Tm1 Tm 0.0000 0.0000 0.0000
Hg1 Hg 0.0000 0.0000 0.1265
Hg2 Hg 0.0000 0.0000 0.3733



> What is the energy of formation from the pure elements in the first record?

25 meV/atom



> What is the energy of formation from the pure elements in the first record?

25 meV/atom



> What is the formula in the second record?

Y2TmHg4